(1)
The following is a DFT calculation (PBE) of a relaxed SrZr2Mn crystal.

* ρ: 6.27 g/cm3
* energy relative to the elements: 777.2 meV/atom
* raw total energy: -99.356 eV per cell

a = 7.0102 Å, b = 7.0102 Å, c = 7.0102 Å
α = 90.00°, β = 90.00°, γ = 90.00°
Space group Fm-3m (No. 225)
One atom of each set of equivalent atoms:
Sr1 0.0000 0.0000 0.0000 (multiplicity 4)
Zr1 0.2500 0.2500 0.2500 (multiplicity 8)
Mn1 0.0000 0.0000 0.5000 (multiplicity 4)

=====

(2)
The following is a DFT calculation (PBE) of a relaxed Pd15PtPb4 crystal.

* ρ: 12.84 g/cm3
* energy relative to the elements: -215.7 meV/atom
* raw total energy: -103.081 eV per cell

a = 4.0951 Å, b = 4.0951 Å, c = 20.2058 Å
α = 90.00°, β = 90.00°, γ = 90.00°
Space group P4/mmm (No. 123)
One atom of each set of equivalent atoms:
Pd1 0.0000 0.0000 0.0000 (multiplicity 1)
Pd2 0.0000 0.0000 0.1949 (multiplicity 2)
Pd3 0.0000 0.0000 0.3978 (multiplicity 2)
Pd4 0.0000 0.5000 0.0943 (multiplicity 4)
Pd5 0.0000 0.5000 0.2958 (multiplicity 4)
Pd6 0.0000 0.5000 0.5000 (multiplicity 2)
Pt1 0.5000 0.5000 0.0000 (multiplicity 1)
Pb1 0.5000 0.5000 0.1940 (multiplicity 2)
Pb2 0.5000 0.5000 0.3981 (multiplicity 2)

=====

(3)
The following is a DFT calculation (PBE) of a relaxed Ca2Ac2Tl3 crystal.

* ρ: 7.65 g/cm3
* energy relative to the elements: -245.1 meV/atom
* raw total energy: -21.034 eV per cell

a = 4.3466 Å, b = 6.1338 Å, c = 9.4635 Å
α = 98.81°, β = 91.06°, γ = 91.38°
Space group P-1 (No. 2)
One atom of each set of equivalent atoms:
Ca1 0.2209 0.0895 0.3171 (multiplicity 2)
Ac1 0.2584 0.4572 0.8283 (multiplicity 2)
Tl1 0.2580 0.6561 0.4611 (multiplicity 2)
Tl2 0.5000 0.0000 0.0000 (multiplicity 1)

=====

(4)
The following is a DFT calculation (PBE) of a relaxed TlZnAg2 crystal.

* ρ: 9.93 g/cm3
* energy relative to the elements: 150.9 meV/atom
* raw total energy: -26.218 eV per cell

a = 3.1972 Å, b = 3.1972 Å, c = 27.5061 Å
α = 90.00°, β = 90.00°, γ = 120.00°
Space group R-3m (No. 166, hexagonal axes)
One atom of each set of equivalent atoms:
Tl1 0.0000 0.0000 0.0000 (multiplicity 3)
Zn1 0.0000 0.0000 0.5000 (multiplicity 3)
Ag1 0.0000 0.0000 0.2409 (multiplicity 6)

=====

(5)
The following is a DFT calculation (PBE) of a relaxed Ca2HgBr crystal.

* energy relative to the elements, uncorrected: -2.69 eV per formula unit
* ρ: 5.11 g/cm3
* raw total energy: -34.663 eV per cell

a = 7.7661 Å, b = 7.7661 Å, c = 7.7661 Å
α = 90.00°, β = 90.00°, γ = 90.00°
Space group Fm-3m (No. 225)
One atom of each set of equivalent atoms:
Ca1 0.2500 0.2500 0.2500 (multiplicity 8)
Hg1 0.0000 0.0000 0.0000 (multiplicity 4)
Br1 0.0000 0.0000 0.5000 (multiplicity 4)

=====

(6)
The following is a DFT calculation (PBE) of a relaxed Cu2PdW crystal.

* ρ: 12.69 g/cm3
* energy relative to the elements: 295.6 meV/atom
* raw total energy: -100.624 eV per cell

a = 6.0228 Å, b = 6.0228 Å, c = 6.0228 Å
α = 90.00°, β = 90.00°, γ = 90.00°
Space group Fm-3m (No. 225)
One atom of each set of equivalent atoms:
Cu1 0.2500 0.2500 0.2500 (multiplicity 8)
Pd1 0.0000 0.0000 0.0000 (multiplicity 4)
W1 0.0000 0.0000 0.5000 (multiplicity 4)

=====

(7)
The following is a DFT calculation (PBE) of a relaxed Na3Pm2SbS6 crystal.

* energy relative to the elements, uncorrected: -17.10 eV per formula unit
* ρ: 3.88 g/cm3
* raw total energy: -118.894 eV per cell

a = 7.0524 Å, b = 12.2156 Å, c = 7.0887 Å
α = 90.00°, β = 109.32°, γ = 90.00°
Space group C2/m (No. 12)
One atom of each set of equivalent atoms:
Na1 0.0000 0.0000 0.0000 (multiplicity 2)
Na2 0.0000 0.3368 0.0000 (multiplicity 4)
Pm1 0.0000 0.1669 0.5000 (multiplicity 4)
Sb1 0.0000 0.5000 0.5000 (multiplicity 2)
S1 0.2411 0.3359 0.7313 (multiplicity 8)
S2 0.2481 0.0000 0.7295 (multiplicity 4)

=====

(8)
The following is a DFT calculation (PBE) of a relaxed NbCdAgI2 crystal.

* energy relative to the elements, uncorrected: 2.75 eV per formula unit
* ρ: 5.54 g/cm3
* raw total energy: -14.190 eV per cell

a = 5.4309 Å, b = 5.4309 Å, c = 5.7571 Å
α = 90.00°, β = 90.00°, γ = 90.00°
Space group P4/mmm (No. 123)
One atom of each set of equivalent atoms:
Nb1 0.0000 0.0000 0.0000 (multiplicity 1)
Cd1 0.0000 0.0000 0.5000 (multiplicity 1)
Ag1 0.5000 0.5000 0.5000 (multiplicity 1)
I1 0.0000 0.5000 0.0000 (multiplicity 2)

=====

- The lowest raw total energy belongs to which entry?
  Na3Pm2SbS6